The following is a PBE-GGA calculation of a geometry-optimized SrHfO3 structure, from Alexandria.

**Uncorrected formation energy**: -3.23 eV per atom
**E**: -8.5308 eV per atom
**Total magnetization**: 0.00 μB per formula unit

a = 3.425 Å, b = 5.442 Å, c = 7.942 Å
α = 90.00°, β = 115.52°, γ = 90.00°
Element x y z (fractional)
O 0.616 0.499 0.866
O 0.616 0.001 0.866
O 0.384 0.501 0.134
O 0.861 0.750 0.610
O 0.384 0.999 0.134
O 0.139 0.250 0.390
Sr 0.875 0.250 0.626
Sr 0.125 0.750 0.374
Hf 0.852 0.250 0.102
Hf 0.148 0.750 0.898